[1]
DFT (GGA-PBE) results for an optimized crystal structure of MnFe2Os2.

Unit cell a=7.067 b=7.067 c=2.605 alpha=90.00 beta=90.00 gamma=90.00
Space group P4/mbm (No. 127)
Unique sites:
Mn  0.000  0.000  0.000
Fe  0.168  0.332  0.500
Os  0.130  0.630  0.000

Output
Distance to the lowest polymorph of the same formula   0.135 eV/atom
Calculated volume   13.01 Å³/atom
Energy of formation from the pure elements   0.470 eV per atom
Density of states at the Fermi level   1.565 states/eV/atom

[2]
DFT (GGA-PBE) results for an optimized crystal structure of Ti2SbMoH.

Unit cell a=4.163 b=4.163 c=4.038 alpha=90.00 beta=90.00 gamma=90.00
Space group P4/mmm (No. 123)
Unique sites:
Ti  0.000  0.500  0.000
Sb  0.000  0.000  0.500
Mo  0.500  0.500  0.500
H  0.500  0.500  0.000

Output
Distance to the lowest polymorph of the same formula   0.000 eV/atom
Calculated volume   14.00 Å³/atom
Density of states at the Fermi level   0.540 states/eV/atom

[3]
DFT (GGA-PBE) results for an optimized crystal structure of Cd2CuRu.

Unit cell a=4.068 b=4.068 c=8.086 alpha=90.00 beta=90.00 gamma=90.00
Space group I-4m2 (No. 119)
Unique sites:
Cd  0.000  0.000  0.000
Cd  0.000  0.500  0.250
Cu  0.000  0.500  0.750
Ru  0.000  0.000  0.500

Output
Distance to the lowest polymorph of the same formula   0.093 eV/atom
Calculated volume   16.72 Å³/atom
Energy of formation from the pure elements   0.301 eV per atom
Density of states at the Fermi level   0.661 states/eV/atom

[4]
DFT (GGA-PBE) results for an optimized crystal structure of HfRh3Se.

Unit cell a=4.545 b=4.545 c=4.545 alpha=90.00 beta=90.00 gamma=90.00
Space group Pm-3m (No. 221)
Unique sites:
Hf  0.000  0.000  0.000
Rh  0.000  0.500  0.500
Se  0.500  0.500  0.500

Output
Formation energy from raw total energies   1.0 eV per formula unit
Distance to the lowest polymorph of the same formula   0.000 eV/atom
Calculated volume   18.78 Å³/atom
Density of states at the Fermi level   1.389 states/eV/atom

[5]
DFT (GGA-PBE) results for an optimized crystal structure of Rb4As2S5.

Unit cell a=11.098 b=7.805 c=9.312 alpha=90.00 beta=104.55 gamma=90.00
Space group Cm (No. 8)
Unique sites:
Rb  0.000  0.000  0.000
Rb  0.065  0.500  0.045
Rb  0.239  0.000  0.756
Rb  0.364  0.500  0.425
As  0.083  0.500  0.650
As  0.325  0.000  0.275
S  0.042  0.500  0.392
S  0.309  0.223  0.119
S  0.482  0.228  0.708

Output
Formation energy from raw total energies   -9.1 eV per formula unit
Calculated volume   35.49 Å³/atom
Density of states at the Fermi level   0.000 states/eV/atom

[6]
DFT (GGA-PBE) results for an optimized crystal structure of Cd2AgAu.

Unit cell a=4.338 b=4.364 c=8.318 alpha=90.00 beta=90.00 gamma=90.00
Space group Cmm2 (No. 35)
Unique sites:
Cd  0.000  0.000  0.000
Cd  0.000  0.500  0.279
Ag  0.000  0.000  0.523
Au  0.000  0.500  0.759

Output
Distance to the lowest polymorph of the same formula   0.069 eV/atom
Calculated volume   19.68 Å³/atom
Energy of formation from the pure elements   -0.061 eV per atom
Density of states at the Fermi level   0.230 states/eV/atom

[7]
DFT (GGA-PBE) results for an optimized crystal structure of Na2TeH5SO10.

Unit cell a=5.501 b=10.474 c=15.251 alpha=90.00 beta=93.76 gamma=90.00
Space group Cc (No. 9)
Unique sites:
Na  0.000  0.059  0.000
Na  0.114  0.250  0.189
Te  0.470  0.022  0.306
H  0.009  0.307  0.376
H  0.119  0.030  0.698
H  0.131  0.255  0.802
H  0.294  0.128  0.433
H  0.414  0.481  0.821
S  0.071  0.257  0.561
O  0.087  0.124  0.594
O  0.103  0.478  0.196
O  0.136  0.030  0.248
O  0.162  0.264  0.470
O  0.245  0.340  0.617
O  0.292  0.477  0.868
O  0.320  0.194  0.062
O  0.330  0.037  0.418
O  0.423  0.166  0.819
O  0.466  0.207  0.290

Output
E   -5.21 eV per atom
Calculated volume   11.54 Å³/atom

[8]
DFT (GGA-PBE) results for an optimized crystal structure of Cs2HgPtO.

Unit cell a=7.001 b=7.001 c=3.846 alpha=90.00 beta=90.00 gamma=90.00
Space group P4/mmm (No. 123)
Unique sites:
Cs  0.000  0.500  0.000
Hg  0.000  0.000  0.500
Pt  0.500  0.500  0.000
O  0.500  0.500  0.500

Output
Formation energy from raw total energies   -2.0 eV per formula unit
Distance to the lowest polymorph of the same formula   0.106 eV/atom
Calculated volume   37.70 Å³/atom
Density of states at the Fermi level   0.345 states/eV/atom

[9]
DFT (GGA-PBE) results for an optimized crystal structure of KZnSnBr5.

Unit cell a=9.658 b=12.672 c=10.600 alpha=90.00 beta=114.26 gamma=90.00
Space group C2/c (No. 15)
Unique sites:
K  0.000  0.149  0.250
Zn  0.000  0.183  0.750
Sn  0.000  0.500  0.000
Br  0.000  0.406  0.250
Br  0.126  0.288  0.634
Br  0.172  0.067  0.933

Output
Formation energy from raw total energies   -8.5 eV per formula unit
Calculated volume   36.96 Å³/atom
Density of states at the Fermi level   0.000 states/eV/atom

[10]
DFT (GGA-PBE) results for an optimized crystal structure of SiBrCl2.

Unit cell a=5.125 b=8.818 c=4.694 alpha=90.00 beta=90.00 gamma=90.00
Space group Cmmm (No. 65)
Unique sites:
Si  0.000  0.000  0.000
Br  0.000  0.500  0.000
Cl  0.250  0.250  0.500

Output
Formation energy from raw total energies   1.0 eV per formula unit
Distance to the lowest polymorph of the same formula   0.853 eV/atom
Calculated volume   26.52 Å³/atom
Density of states at the Fermi level   0.420 states/eV/atom

[11]
DFT (GGA-PBE) results for an optimized crystal structure of TbNd2Sc6.

Unit cell a=9.3024 b=9.3024 c=3.3010 alpha=90.00 beta=90.00 gamma=120.00
Space group P6/mmm (No. 191)
Unique sites:
Tb  0.0000  0.0000  0.0000
Nd  0.3333  0.6667  0.0000
Sc  0.0000  0.3315  0.5000

Output
Calculated volume   27.49 Å³/atom
Energy of formation from the pure elements   0.075 eV per atom
Density of states at the Fermi level   1.821 states/eV/atom

[12]
DFT (GGA-PBE) results for an optimized crystal structure of TbHoCoIr.

Unit cell a=6.786 b=6.786 c=6.786 alpha=90.00 beta=90.00 gamma=90.00
Space group F-43m (No. 216)
Unique sites:
Tb  0.000  0.000  0.000
Ho  0.000  0.000  0.500
Co  0.250  0.250  0.250
Ir  0.250  0.250  0.750

Output
Calculated volume   19.53 Å³/atom
Energy of formation from the pure elements   -0.512 eV per atom
Density of states at the Fermi level   0.299 states/eV/atom

[13]
DFT (GGA-PBE) results for an optimized crystal structure of La2Ga3Pd12Pt.

Unit cell a=8.4149 b=8.4149 c=17.7524 alpha=90.00 beta=90.00 gamma=120.00
Space group R-3m (No. 166, hexagonal axes)
Unique sites:
La  0.0000  0.0000  0.1120
Ga  0.0000  0.5000  0.0000
Pd  0.0168  0.5084  0.3767
Pd  0.0196  0.5098  0.8628
Pt  0.0000  0.0000  0.5000

Output
Calculated volume   20.16 Å³/atom
Energy of formation from the pure elements   -0.270 eV per atom
Density of states at the Fermi level   0.383 states/eV/atom

[14]
DFT (GGA-PBE) results for an optimized crystal structure of Pm5Re2I2.

Unit cell a=17.364 b=7.998 c=7.971 alpha=90.00 beta=90.00 gamma=90.00
Space group Cmce (No. 64)
Unique sites:
Pm  0.000  0.000  0.000
Pm  0.110  0.175  0.325
Re  0.000  0.111  0.609
I  0.219  0.000  0.000

Output
Formation energy from raw total energies   -2.8 eV per formula unit
Calculated volume   30.75 Å³/atom
Density of states at the Fermi level   0.753 states/eV/atom

[15]
DFT (GGA-PBE) results for an optimized crystal structure of LiYAg2.

Unit cell a=7.634 b=7.634 c=5.851 alpha=90.00 beta=90.00 gamma=90.00
Space group I-42d (No. 122)
Unique sites:
Li  0.000  0.000  0.000
Y  0.000  0.000  0.500
Ag  0.202  0.250  0.125

Output
Calculated volume   21.31 Å³/atom
Energy of formation from the pure elements   -0.004 eV per atom
Density of states at the Fermi level   0.529 states/eV/atom